[1]
Computed, not measured: a geometry-optimized DyHo2Pu structure at the PBE level of DFT.

Final energy = -6.9314 eV per atom
Total magnetization = 1.47 μB per atom
ΔH_f (0 K) = 91 meV per atom
DOS at the Fermi energy = 11.08 states/eV/f.u.
Offset from the most stable computed form = 0 meV per atom

Cell: 11.483 11.483 11.483 Å, 17.65 17.65 17.65°
Element x y z (fractional)
1 Dy 0.000 0.000 0.000
2 Ho 0.249 0.249 0.249
3 Ho 0.418 0.418 0.418
4 Pu 0.834 0.834 0.834

***

[2]
Computed, not measured: a geometry-optimized Dy4Ho6Pu structure at the PBE level of DFT.

Final energy = -5.3074 eV per atom
Total magnetization = 0.55 μB per atom
ΔH_f (0 K) = 166 meV per atom
DOS at the Fermi energy = 20.76 states/eV/f.u.

Cell: 11.663 11.663 17.206 Å, 90.00 90.00 162.71°
Element x y z (fractional)
1 Dy 0.119 0.881 0.640
2 Dy 0.119 0.881 0.860
3 Dy 0.370 0.630 0.551
4 Dy 0.370 0.630 0.949
5 Dy 0.630 0.370 0.051
6 Dy 0.630 0.370 0.449
7 Dy 0.881 0.119 0.140
8 Dy 0.881 0.119 0.360
9 Ho 0.000 0.000 0.000
10 Ho 0.000 0.000 0.500
11 Ho 0.253 0.747 0.750
12 Ho 0.259 0.741 0.083
13 Ho 0.259 0.741 0.417
14 Ho 0.490 0.510 0.660
15 Ho 0.490 0.510 0.840
16 Ho 0.510 0.490 0.160
17 Ho 0.510 0.490 0.340
18 Ho 0.741 0.259 0.583
19 Ho 0.741 0.259 0.917
20 Ho 0.747 0.253 0.250
21 Pu 0.122 0.878 0.250
22 Pu 0.878 0.122 0.750

***

[3]
Computed, not measured: a geometry-optimized DyHoPu structure at the PBE level of DFT.

Final energy = -7.1093 eV per atom
Total magnetization = 2.18 μB per atom
ΔH_f (0 K) = 728 meV per atom
DOS at the Fermi energy = 8.73 states/eV/f.u.
Offset from the most stable computed form = 620 meV per atom

Cell: 7.883 7.883 3.299 Å, 90.00 90.00 90.01°
Element x y z (fractional)
1 Dy 0.237 0.237 0.000
2 Dy 0.763 0.763 0.000
3 Ho 0.263 0.737 0.500
4 Ho 0.737 0.263 0.500
5 Pu 0.000 0.000 0.500
6 Pu 0.500 0.500 0.000